1.
Material: HfCrBRu2
Method: DFT, PBE-GGA
State: optimized geometry

Summary:
- Total magnetic moment: 0.80 μB per cell
- E_tot: -6.33 eV/atom
- ΔE_f: 2634 meV/atom

Cell and atoms, written as POSCAR:
```
HfCrBRu2
1.0
4.701 0.000 0.000
0.000 4.701 0.000
0.000 0.000 4.638
Hf Cr B Ru
1 1 1 2
Direct
0.000 0.000 0.000
0.000 0.000 0.500
0.500 0.500 0.500
0.000 0.500 0.000
0.500 0.000 0.000
```

***

2.
Material: Hf2CrBSe
Method: DFT, PBE-GGA
State: optimized geometry

Summary:
- Total magnetic moment: 3.17 μB per cell
- E_tot: -6.81 eV/atom
- Formation energy without anion corrections: 1128 meV per atom

Cell and atoms, written as POSCAR:
```
Hf2CrBSe
1.0
4.886 0.000 0.000
0.000 4.886 0.000
0.000 0.000 4.416
Hf Cr B Se
2 1 1 1
Direct
0.000 0.500 0.000
0.500 0.000 0.000
0.000 0.000 0.500
0.500 0.500 0.500
0.000 0.000 0.000
```

***

3.
Material: HfTlCrB2
Method: DFT, PBE-GGA
State: optimized geometry

Summary:
- Total magnetic moment: 0.00 μB per cell
- E_tot: -6.07 eV/atom
- ΔE_f: 985 meV/atom

Cell and atoms, written as POSCAR:
```
HfTlCrB2
1.0
4.169 0.000 0.000
0.000 4.169 0.000
0.000 0.000 4.730
Hf Tl Cr B
1 1 1 2
Direct
0.000 0.000 0.000
0.500 0.500 0.000
0.000 0.000 0.500
0.000 0.500 0.500
0.500 0.000 0.500
```